[1]
Li5Th2Zn12 | Alexandria via LeMat-Bulk | GGA-PBE | optimized geometry; total magnetic moment = 0.0 μB per cell; calculated formation energy = -0.227 eV/atom
1.0
4.539 2.621 4.400
-4.539 2.621 4.400
0.000 -5.241 4.400
Li Th Zn
5 2 12
Direct
0.000 0.000 0.500
0.000 0.500 0.000
0.097 0.097 0.097
0.500 0.000 0.000
0.903 0.903 0.903
0.348 0.348 0.348
0.652 0.652 0.652
0.000 0.293 0.707
0.000 0.707 0.293
0.152 0.652 0.652
0.293 0.000 0.707
0.293 0.707 0.000
0.348 0.348 0.848
0.348 0.848 0.348
0.652 0.152 0.652
0.652 0.652 0.152
0.707 0.000 0.293
0.707 0.293 0.000
0.848 0.348 0.348


[2]
MnAu2 | Alexandria via LeMat-Bulk | GGA-PBE | optimized geometry; total magnetic moment = 8.6 μB per cell; calculated formation energy = 0.004 eV/atom
1.0
-1.498 1.498 12.008
1.498 -1.498 12.008
1.498 1.498 -12.008
Mn Au
2 4
Direct
0.375 0.625 0.750
0.625 0.375 0.250
0.051 0.801 0.250
0.199 0.949 0.250
0.801 0.051 0.750
0.949 0.199 0.750


[3]
Rb2BiPt2 | Alexandria via LeMat-Bulk | GGA-PBE | optimized geometry; total magnetic moment = 0.0 μB per cell; calculated formation energy = -0.081 eV/atom
1.0
7.210 0.000 0.000
0.000 7.210 0.000
0.000 0.000 5.725
Rb Bi Pt
4 2 4
Direct
0.175 0.325 0.000
0.325 0.825 0.000
0.675 0.175 0.000
0.825 0.675 0.000
0.000 0.000 0.500
0.500 0.500 0.500
0.128 0.628 0.500
0.372 0.128 0.500
0.628 0.872 0.500
0.872 0.372 0.500